Compound: RbHg2PdPt
Source: the Alexandria database
Functional: PBE
Structure: optimized geometry

For the density, the calculation gives 8.86 g cm⁻³. The formation energy from the elements comes out at 31 meV/atom. Its volume is 147.7 Å³/cell. The magnetic moment is 0.038 μB/atom. As for the total energy: -12.7 eV for the cell shown.

The structure belongs to space group P4/mmm (No. 123); the cell edges are 5.306, 5.306 and 5.244 Å and the angles 90.00°, 90.00° and 90.00°. The inequivalent atoms are Rb at (0.000, 0.000, 0.000), Hg at (0.000, 0.500, 0.500), Pd at (0.500, 0.500, 0.000) and Pt at (0.500, 0.500, 0.500).

***

Compound: Rb2Hg6PdPt
Source: the Alexandria database
Functional: PBE
Structure: optimized geometry

For the density, the calculation gives 8.79 g cm⁻³. The formation energy from the elements comes out at -275 meV/atom. Its volume is 316.5 Å³/cell. The magnetic moment is 0.000 μB/atom. As for the total energy: -17.7 eV for the cell shown.

The structure belongs to space group P4/mmm (No. 123); the cell edges are 5.409, 5.409 and 10.820 Å and the angles 90.00°, 90.00° and 90.00°. The inequivalent atoms are Rb at (0.000, 0.000, 0.250), Hg at (0.000, 0.500, 0.000), Hg at (0.000, 0.500, 0.500), Hg at (0.500, 0.500, 0.250), Pd at (0.500, 0.500, 0.000) and Pt at (0.500, 0.500, 0.500).

***

Compound: RbHgPdPt2
Source: the Alexandria database
Functional: PBE
Structure: optimized geometry

For the density, the calculation gives 9.64 g cm⁻³. The formation energy from the elements comes out at 487 meV/atom. Its volume is 134.8 Å³/cell. The magnetic moment is 0.177 μB/atom. As for the total energy: -16.1 eV for the cell shown.

The structure belongs to space group P4/mmm (No. 123); the cell edges are 5.069, 5.069 and 5.245 Å and the angles 90.00°, 90.00° and 90.00°. The inequivalent atoms are Rb at (0.000, 0.000, 0.000), Hg at (0.500, 0.500, 0.000), Pd at (0.500, 0.500, 0.500) and Pt at (0.000, 0.500, 0.500).

***

Compound: ReHgPd2Pt
Source: the Alexandria database
Functional: PBE
Structure: optimized geometry

For the density, the calculation gives 11.24 g cm⁻³. The formation energy from the elements comes out at 1338 meV/atom. Its volume is 117.5 Å³/cell. The magnetic moment is 0.414 μB/atom. As for the total energy: -22.5 eV for the cell shown.

The structure belongs to space group P4/mmm (No. 123); the cell edges are 5.005, 5.005 and 4.689 Å and the angles 90.00°, 90.00° and 90.00°. The inequivalent atoms are Re at (0.000, 0.000, 0.000), Hg at (0.500, 0.500, 0.000), Pd at (0.000, 0.500, 0.500) and Pt at (0.000, 0.000, 0.500).

***

Compound: Sc4HgPd2Pt
Source: the Alexandria database
Functional: PBE
Structure: optimized geometry

For the density, the calculation gives 8.62 g cm⁻³. The formation energy from the elements comes out at -861 meV/atom. Its volume is 455.4 Å³/cell. The magnetic moment is 0.000 μB/atom. As for the total energy: -146.8 eV for the cell shown.

The structure belongs to space group R-3m (No. 166, hexagonal axes); the cell edges are 4.7440, 4.7440 and 23.3657 Å and the angles 90.00°, 90.00° and 120.00°. The inequivalent atoms are Sc at (0.0000, 0.0000, 0.1192), Sc at (0.0000, 0.0000, 0.3704), Hg at (0.0000, 0.0000, 0.5000), Pd at (0.0000, 0.0000, 0.2473) and Pt at (0.0000, 0.0000, 0.0000).

***

Compound: Hg2PdPt2Se6
Source: the Alexandria database
Functional: PBE
Structure: optimized geometry

The uncorrected formation energy comes out at -0.2740 eV/atom. For the density, the calculation gives 7.41 g cm⁻³. Its volume is 615.1 Å³/cell. The magnetic moment is 0.000 μB/atom. As for the total energy: -83.6 eV for the cell shown.

The structure belongs to space group C2/m (No. 12); the cell edges are 6.487, 11.284 and 8.966 Å and the angles 90.00°, 110.41° and 90.00°. The inequivalent atoms are Hg at (0.000, 0.191, 0.000), Pd at (0.000, 0.000, 0.500), Pt at (0.000, 0.333, 0.500), Se at (0.241, 0.500, 0.656) and Se at (0.243, 0.167, 0.657).

***

Compound: Si2HgPdPt
Source: the Alexandria database
Functional: PBE
Structure: optimized geometry

The uncorrected formation energy comes out at 1.3875 eV/atom. For the density, the calculation gives 7.87 g cm⁻³. Its volume is 117.7 Å³/cell. The magnetic moment is 0.000 μB/atom. As for the total energy: -15.4 eV for the cell shown.

The structure belongs to space group P4/mmm (No. 123); the cell edges are 4.813, 4.813 and 5.083 Å and the angles 90.00°, 90.00° and 90.00°. The inequivalent atoms are Si at (0.000, 0.500, 0.000), Hg at (0.000, 0.000, 0.000), Pd at (0.500, 0.500, 0.500) and Pt at (0.000, 0.000, 0.500).

***

Compound: SnHgPdPt
Source: the Alexandria database
Functional: PBE
Structure: optimized geometry

For the density, the calculation gives 14.00 g cm⁻³. The formation energy from the elements comes out at -230 meV/atom. Its volume is 294.5 Å³/cell. The magnetic moment is 0.000 μB/atom. As for the total energy: -65.8 eV for the cell shown.

The structure belongs to space group F-43m (No. 216); the cell edges are 6.653, 6.653 and 6.653 Å and the angles 90.00°, 90.00° and 90.00°. The inequivalent atoms are Sn at (0.000, 0.000, 0.000), Hg at (0.000, 0.000, 0.500), Pd at (0.250, 0.250, 0.750) and Pt at (0.250, 0.250, 0.250).